No. 1
DFT (PBE) results for crystalline NbCuNi2 at its relaxed geometry.

## Properties
E_tot: -6.233 eV/atom
energy of formation: 0.004 eV per atom

a b c (Å): 4.177 4.177 4.177
angles (deg): 60.00 60.00 60.00
Element x y z (fractional)
1 Nb 0.000 0.000 0.000
2 Cu 0.250 0.250 0.250
3 Ni 0.500 0.500 0.500
4 Ni 0.750 0.750 0.750

---

No. 2
DFT (PBE) results for crystalline TbZnInNi at its relaxed geometry.

## Properties
E_tot: -3.970 eV/atom
relative energy among the computed polymorphs: 0.0040 eV/atom

a b c (Å): 7.498 5.285 5.285
angles (deg): 46.95 90.00 90.00
Element x y z (fractional)
1 Tb 0.000 0.000 0.000
2 Tb 0.500 0.130 0.130
3 Zn 0.190 0.712 0.712
4 Zn 0.810 0.712 0.712
5 In 0.297 0.419 0.419
6 In 0.703 0.419 0.419
7 Ni 0.000 0.276 0.276
8 Ni 0.500 0.837 0.837

---

No. 3
DFT (PBE) results for crystalline LaPrB2P2Ir2 at its relaxed geometry.

## Properties
E_tot: -7.378 eV/atom

a b c (Å): 4.055 4.055 8.451
angles (deg): 90.00 90.00 90.00
Element x y z (fractional)
1 La 0.000 0.000 0.000
2 Pr 0.500 0.500 0.390
3 B 0.000 0.000 0.590
4 B 0.500 0.500 0.806
5 P 0.000 0.000 0.353
6 P 0.500 0.500 0.044
7 Ir 0.000 0.500 0.697
8 Ir 0.500 0.000 0.697